Model one:
## TaCr3Ag2S8 (GGA-PBE)

Data for a geometry-optimized TaCr3Ag2S8 structure.

Cell: 6.479 7.655 12.869 Å, 98.41 95.09 90.43°
Each line ends with the local moment (μB).
Atoms (fractional coordinates):
Ag 0.106 0.177 0.286  -0.01
Cr 0.755 0.109 0.001  2.86
S 0.808 0.714 0.345  -0.07
Cr 0.633 0.954 0.283  3.00
S 0.668 0.039 0.628  -0.04
Ag 0.744 0.625 0.000  -0.06
S 0.908 0.860 0.910  -0.13
S 0.130 0.683 0.115  -0.04
S 0.332 0.961 0.372  -0.04
S 0.368 0.619 0.895  -0.15
S 0.686 0.528 0.651  -0.04
S 0.417 0.073 0.895  -0.16
Cr 0.245 0.891 0.999  2.86
S 0.583 0.927 0.105  -0.16
Ta 0.852 0.289 0.707  0.27
S 0.870 0.317 0.885  -0.04
Cr 0.631 0.446 0.278  2.80
Cr 0.369 0.554 0.722  2.80
S 0.632 0.381 0.105  -0.15
S 0.192 0.286 0.655  -0.07
S 0.092 0.140 0.090  -0.13
S 0.239 0.778 0.647  -0.15
S 0.314 0.472 0.349  -0.04
Ta 0.148 0.711 0.293  0.27
S 0.761 0.222 0.353  -0.15
Ag 0.894 0.823 0.714  -0.01
Ag 0.256 0.375 0.000  -0.06
Cr 0.367 0.046 0.717  3.00

Calculated density (Mg/m³): 4.3
Magnetization (μB per atom): 0.643
Fermi-level density of states (states/eV/atom): 0.378

Model two:
## TaCr3Ag2S8 (GGA-PBE)

Data for a geometry-optimized TaCr3Ag2S8 structure.

Cell: 3.480 12.077 12.029 Å, 90.00 90.00 90.00°
Each line ends with the local moment (μB).
Atoms (fractional coordinates):
S 0.000 0.036 0.869  -0.11
Ta 0.500 0.334 0.536  0.26
Cr 0.000 0.096 0.677  2.90
S 0.000 0.437 0.632  -0.02
S 0.500 0.956 0.629  -0.06
S 0.000 0.937 0.368  -0.02
S 0.000 0.776 0.798  -0.13
Cr 0.500 0.399 0.159  2.86
Cr 0.000 0.664 0.962  2.84
Ag 0.000 0.389 0.848  -0.02
S 0.000 0.191 0.490  -0.02
S 0.000 0.691 0.510  -0.02
S 0.500 0.296 0.990  -0.14
S 0.500 0.562 0.874  -0.12
Cr 0.000 0.596 0.323  2.90
Cr 0.000 0.164 0.038  2.84
Ag 0.000 0.889 0.152  -0.02
S 0.000 0.276 0.202  -0.13
S 0.500 0.456 0.371  -0.06
Ta 0.500 0.834 0.464  0.26
Ag 0.500 0.142 0.324  0.00
S 0.500 0.062 0.126  -0.12
S 0.500 0.796 0.010  -0.14
Ag 0.500 0.642 0.676  0.00
S 0.000 0.536 0.131  -0.11
S 0.500 0.721 0.285  -0.08
Cr 0.500 0.899 0.841  2.86
S 0.500 0.221 0.715  -0.08

Calculated density (Mg/m³): 5.3
Magnetization (μB per atom): 0.633
Fermi-level density of states (states/eV/atom): 0.288

Model three:
## TaCr3Ag2S8 (GGA-PBE)

Data for a geometry-optimized TaCr3Ag2S8 structure.

Cell: 5.985 6.974 16.818 Å, 52.41 90.00 90.00°
Each line ends with the local moment (μB).
Atoms (fractional coordinates):
S 0.669 0.406 0.396  -0.03
S 0.666 0.099 0.105  -0.03
S 0.334 0.901 0.895  -0.03
S 0.165 0.645 0.403  -0.07
Cr 0.999 0.753 0.499  2.83
S 0.331 0.406 0.896  -0.03
S 0.165 0.355 0.097  -0.07
S 0.835 0.645 0.903  -0.07
Ta 0.500 0.000 0.500  0.09
S 0.666 0.901 0.395  -0.03
S 0.334 0.099 0.605  -0.03
Cr 0.500 0.500 0.500  2.83
Ag 0.072 0.500 0.750  0.02
S 0.162 0.151 0.395  -0.03
Ta 0.500 0.000 0.000  0.09
Cr 0.999 0.247 0.001  2.83
S 0.331 0.594 0.604  -0.03
S 0.669 0.594 0.104  -0.03
Ag 0.377 0.000 0.250  0.01
Cr 0.001 0.753 0.999  2.83
S 0.838 0.151 0.895  -0.03
S 0.838 0.849 0.605  -0.03
Ag 0.623 0.000 0.750  0.01
Ag 0.928 0.500 0.250  0.02
Cr 0.500 0.500 0.000  2.83
S 0.162 0.849 0.105  -0.03
S 0.835 0.355 0.597  -0.07
Cr 0.001 0.247 0.501  2.83

Calculated density (Mg/m³): 4.8
Magnetization (μB per atom): 0.643
Fermi-level density of states (states/eV/atom): 0.061

It turns out model three is the most stable, with the second structure 0.098 eV/atom higher.

Model one:
## TaCr3Ag2S8 (GGA-PBE)

Data for a geometry-optimized TaCr3Ag2S8 structure.

Cell: 7.192 7.351 10.284 Å, 90.00 90.00 90.00°
Each line ends with the local moment (μB).
Atoms (fractional coordinates):
Cr 0.741 0.000 0.500  2.90
S 0.957 0.250 0.517  -0.10
Ta 0.500 0.752 0.250  0.11
S 0.248 0.524 0.236  -0.05
S 0.248 0.476 0.764  -0.05
Cr 0.259 0.000 0.000  2.90
S 0.247 0.023 0.764  -0.05
S 0.516 0.750 0.489  -0.04
S 0.484 0.750 0.011  -0.04
Cr 0.742 0.500 0.500  2.90
Ag 0.771 0.749 0.876  0.00
S 0.753 0.023 0.736  -0.05
S 0.752 0.524 0.264  -0.05
Ag 0.771 0.251 0.124  0.00
Cr 0.258 0.500 0.000  2.90
S 0.516 0.250 0.511  -0.04
S 0.752 0.476 0.736  -0.05
S 0.484 0.250 0.989  -0.04
Ag 0.229 0.251 0.376  0.00
S 0.753 0.977 0.264  -0.05
S 0.043 0.250 0.983  -0.10
Cr 0.000 0.750 0.250  2.88
S 0.247 0.977 0.236  -0.05
S 0.043 0.750 0.017  -0.10
S 0.957 0.750 0.483  -0.10
Ag 0.229 0.749 0.624  0.00
Ta 0.500 0.248 0.750  0.11
Cr 0.000 0.250 0.750  2.88

Calculated density (Mg/m³): 4.9
Magnetization (μB per atom): 0.643
Fermi-level density of states (states/eV/atom): 0.085

Model two:
## TaCr3Ag2S8 (GGA-PBE)

Data for a geometry-optimized TaCr3Ag2S8 structure.

Cell: 6.040 6.944 15.775 Å, 107.21 108.23 89.40°
Each line ends with the local moment (μB).
Atoms (fractional coordinates):
S 0.459 0.033 0.349  -0.03
Ta 0.485 0.321 0.756  0.18
Ag 0.304 0.475 0.017  0.02
S 0.185 0.358 0.846  -0.04
Cr 0.528 0.209 0.246  2.80
S 0.198 0.987 0.666  -0.06
Ag 0.565 0.646 0.500  0.01
Ag 0.390 0.893 0.001  0.01
S 0.933 0.276 0.339  -0.04
S 0.931 0.767 0.331  -0.06
S 0.627 0.900 0.155  -0.04
S 0.170 0.853 0.841  -0.08
S 0.124 0.148 0.140  -0.03
Ta 0.074 0.988 0.246  0.18
Cr 0.519 0.712 0.244  2.83
S 0.427 0.522 0.333  -0.07
S 0.702 0.625 0.858  -0.03
S 0.677 0.105 0.849  -0.04
Cr 0.930 0.055 0.756  2.79
Ag 0.062 0.852 0.499  0.01
Cr 0.022 0.453 0.242  2.81
S 0.613 0.397 0.154  -0.08
S 0.191 0.481 0.659  -0.04
S 0.111 0.643 0.148  -0.04
Cr 0.435 0.790 0.754  2.82
S 0.699 0.741 0.666  -0.07
Cr 0.938 0.541 0.753  2.79
S 0.702 0.230 0.651  -0.03

Calculated density (Mg/m³): 4.5
Magnetization (μB per atom): 0.643

Model three:
## TaCr3Ag2S8 (GGA-PBE)

Data for a geometry-optimized TaCr3Ag2S8 structure.

Cell: 6.976 5.998 6.672 Å, 81.78 90.00 90.00°
Each line ends with the local moment (μB).
Atoms (fractional coordinates):
S 0.000 0.696 0.305  -0.07
Cr 0.000 0.000 0.500  2.82
S 0.246 0.798 0.711  -0.03
S 0.500 0.688 0.293  -0.02
Cr 0.249 0.500 0.500  2.82
Ta 0.500 0.000 0.500  0.10
S 0.754 0.798 0.711  -0.03
Ag 0.000 0.000 0.000  0.01
Cr 0.751 0.500 0.500  2.82
S 0.246 0.202 0.289  -0.03
Ag 0.500 0.000 0.000  0.01
S 0.500 0.312 0.707  -0.02
S 0.000 0.304 0.695  -0.07
S 0.754 0.202 0.289  -0.03

Calculated density (Mg/m³): 4.9
Magnetization (μB per atom): 0.644
Fermi-level density of states (states/eV/atom): 0.047

Model four:
## TaCr3Ag2S8 (GGA-PBE)

Data for a geometry-optimized TaCr3Ag2S8 structure.

Cell: 3.471 11.011 13.196 Å, 90.00 90.00 90.00°
Each line ends with the local moment (μB).
Atoms (fractional coordinates):
Cr 0.000 0.319 0.394  2.84
S 0.000 0.535 0.847  -0.08
Cr 0.000 0.322 0.903  2.82
Ag 0.500 0.479 0.695  0.00
S 0.000 0.223 0.220  -0.02
S 0.500 0.652 0.072  -0.12
Cr 0.500 0.681 0.894  2.84
S 0.500 0.465 0.347  -0.08
S 0.000 0.055 0.637  -0.04
Ag 0.000 0.521 0.195  0.00
S 0.000 0.635 0.524  -0.04
Cr 0.000 0.794 0.108  2.82
S 0.500 0.252 0.792  -0.08
S 0.500 0.777 0.720  -0.02
S 0.000 0.823 0.930  -0.11
Cr 0.500 0.678 0.403  2.82
S 0.000 0.748 0.292  -0.08
S 0.000 0.118 0.970  -0.03
S 0.000 0.348 0.572  -0.12
S 0.500 0.945 0.137  -0.04
Ta 0.000 0.836 0.598  0.10
S 0.500 0.365 0.024  -0.04
Ag 0.500 0.003 0.812  0.01
S 0.500 0.882 0.470  -0.03
Ta 0.500 0.164 0.098  0.10
Ag 0.000 0.997 0.312  0.01
Cr 0.500 0.206 0.608  2.82
S 0.500 0.177 0.430  -0.11

Calculated density (Mg/m³): 5.3
Magnetization (μB per atom): 0.626
Fermi-level density of states (states/eV/atom): 0.396

It turns out model two is the most stable, with the second structure 0.007 eV/atom higher.

Model one:
## TaCr3Ag2S8 (GGA-PBE)

Data for a geometry-optimized TaCr3Ag2S8 structure.

Cell: 7.198 7.198 7.198 Å, 61.43 61.43 61.43°
Each line ends with the local moment (μB).
Atoms (fractional coordinates):
Ta 0.500 0.500 0.500  0.09
S 0.740 0.287 0.740  -0.05
Cr 0.500 0.500 0.000  2.89
Ag 0.127 0.127 0.127  0.00
S 0.287 0.740 0.740  -0.05
S 0.740 0.740 0.287  -0.05
Cr 0.000 0.500 0.500  2.89
S 0.733 0.733 0.733  -0.09
Cr 0.500 0.000 0.500  2.89
Ag 0.873 0.873 0.873  0.00
S 0.267 0.267 0.267  -0.09
S 0.260 0.713 0.260  -0.05
S 0.713 0.260 0.260  -0.05
S 0.260 0.260 0.713  -0.05

Calculated density (Mg/m³): 4.9
Magnetization (μB per atom): 0.643
Fermi-level density of states (states/eV/atom): 0.055

Model two:
## TaCr3Ag2S8 (GGA-PBE)

Data for a geometry-optimized TaCr3Ag2S8 structure.

Cell: 3.459 5.923 12.933 Å, 90.16 90.00 90.00°
Each line ends with the local moment (μB).
Atoms (fractional coordinates):
S 0.000 0.309 0.145  -0.02
Cr 0.000 0.967 0.250  2.56
Ta 0.500 0.513 0.251  -0.03
S 0.500 0.178 0.858  -0.11
S 0.000 0.673 0.846  -0.10
S 0.500 0.144 0.352  -0.04
Ag 0.000 0.006 0.508  -0.01
Ag 0.500 0.518 0.991  0.00
S 0.000 0.342 0.641  -0.11
S 0.500 0.845 0.654  -0.10
S 0.000 0.655 0.370  -0.01
Cr 0.500 0.492 0.742  2.69
Cr 0.000 0.027 0.757  2.69
S 0.500 0.831 0.136  -0.02

Calculated density (Mg/m³): 5.1
Magnetization (μB per atom): 0.561
Fermi-level density of states (states/eV/atom): 0.382

It turns out model one is the most stable, with the second structure 0.032 eV/atom higher.

Model one:
## CrAgSb (GGA-PBE)

Data for a geometry-optimized CrAgSb structure.

Cell: 3.240 3.240 6.839 Å, 90.00 90.00 120.00°
Each line ends with the local moment (μB).
Atoms (fractional coordinates):
Sb 0.667 0.333 0.643  -0.04
Cr 0.333 0.667 0.332  3.47
Ag 0.000 0.000 0.024  0.05

Calculated density (Mg/m³): 7.5
Magnetization (μB per atom): 1.279
Fermi-level density of states (states/eV/atom): 0.848

Model two:
## CrAgSb (GGA-PBE)

Data for a geometry-optimized CrAgSb structure.

Cell: 4.507 4.507 4.507 Å, 60.00 60.00 60.00°
Each line ends with the local moment (μB).
Atoms (fractional coordinates):
Sb 0.000 0.000 0.000  -0.15
Ag 0.500 0.500 0.500  0.04
Cr 0.750 0.750 0.750  3.28

Calculated density (Mg/m³): 7.2
Magnetization (μB per atom): 1.132
Fermi-level density of states (states/eV/atom): 0.498

It turns out model two is the most stable, with the second structure 0.183 eV/atom higher.

Model one:
## CrAgSb (GGA-PBE)

Data for a geometry-optimized CrAgSb structure.

Cell: 6.473 6.473 3.174 Å, 75.81 75.80 28.39°
Each line ends with the local moment (μB).
Atoms (fractional coordinates):
Cr 0.666 0.666 0.334  3.44
Sb 0.316 0.316 0.684  -0.05
Ag 0.018 0.018 0.982  0.04

Calculated density (Mg/m³): 7.6
Magnetization (μB per atom): 1.251
Fermi-level density of states (states/eV/atom): 0.361

Model two:
## CrAgSb (GGA-PBE)

Data for a geometry-optimized CrAgSb structure.

Cell: 5.178 5.178 5.178 Å, 142.44 134.32 60.57°
Each line ends with the local moment (μB).
Atoms (fractional coordinates):
Cr 0.328 0.328 0.000  3.59
Ag 0.995 0.995 0.000  0.04
Sb 0.677 0.677 0.000  -0.09

Calculated density (Mg/m³): 7.8
Magnetization (μB per atom): 1.312
Fermi-level density of states (states/eV/atom): 0.552

Model three:
## CrAgSb (GGA-PBE)

Data for a geometry-optimized CrAgSb structure.

Cell: 4.266 4.266 6.525 Å, 90.00 90.00 90.00°
Each line ends with the local moment (μB).
Atoms (fractional coordinates):
Sb 0.000 0.500 0.243  -0.11
Ag 0.500 0.000 0.197  -0.01
Cr 0.000 0.000 0.500  2.52
Cr 0.500 0.500 0.500  2.52
Sb 0.500 0.000 0.757  -0.11
Ag 0.000 0.500 0.803  -0.01

Calculated density (Mg/m³): 7.9
Magnetization (μB per atom): 0.833
Fermi-level density of states (states/eV/atom): 0.552

It turns out model three is the most stable, with the second structure 0.145 eV/atom higher.

Model one:
## CrAgSb2Te (GGA-PBE)

Data for a geometry-optimized CrAgSb2Te structure.

Cell: 5.043 5.043 5.358 Å, 90.00 90.00 90.00°
Each line ends with the local moment (μB).
Atoms (fractional coordinates):
Sb 0.000 0.500 0.000  -0.09
Cr 0.000 0.000 0.000  2.31
Ag 0.500 0.500 0.500  0.02
Te 0.000 0.000 0.500  0.02
Sb 0.500 0.000 0.000  -0.09

Calculated density (Mg/m³): 6.5
Magnetization (μB per atom): 0.454
Fermi-level density of states (states/eV/atom): 0.714

Model two:
## CrAgSb2Te (GGA-PBE)

Data for a geometry-optimized CrAgSb2Te structure.

Cell: 5.322 5.322 5.506 Å, 90.00 90.00 90.00°
Each line ends with the local moment (μB).
Atoms (fractional coordinates):
Sb 0.500 0.000 0.000  -0.13
Ag 0.000 0.000 0.000  -0.01
Te 0.000 0.000 0.500  -0.07
Sb 0.000 0.500 0.000  -0.13
Cr 0.500 0.500 0.500  4.17

Calculated density (Mg/m³): 5.7
Magnetization (μB per atom): 0.826
Fermi-level density of states (states/eV/atom): 0.687

It turns out model one is the most stable, with the second structure 0.409 eV/atom higher.

Model one:
## ZrCr2AgSb (GGA-PBE)

Data for a geometry-optimized ZrCr2AgSb structure.

Cell: 5.054 5.401 5.054 Å, 90.00 90.00 90.00°
Each line ends with the local moment (μB).
Atoms (fractional coordinates):
Cr 0.500 0.000 0.000  3.80
Zr 0.000 0.500 0.000  -0.34
Ag 0.500 0.500 0.500  -0.01
Cr 0.000 0.000 0.500  3.87
Sb 0.000 0.000 0.000  -0.05

Calculated density (Mg/m³): 5.1
Magnetization (μB per atom): 1.616
Fermi-level density of states (states/eV/atom): 1.311

Model two:
## ZrCr2AgSb (GGA-PBE)

Data for a geometry-optimized ZrCr2AgSb structure.

Cell: 5.019 5.225 5.019 Å, 90.00 90.00 90.00°
Each line ends with the local moment (μB).
Atoms (fractional coordinates):
Zr 0.500 0.500 0.500  -0.78
Cr 0.000 0.000 0.500  3.83
Cr 0.500 0.000 0.000  3.81
Ag 0.000 0.000 0.000  0.11
Sb 0.000 0.500 0.000  0.01

Calculated density (Mg/m³): 5.4
Magnetization (μB per atom): 1.513
Fermi-level density of states (states/eV/atom): 0.875

It turns out model one is the most stable, with the second structure 0.084 eV/atom higher.

Model one:
## ScCr2Ag (GGA-PBE)

Data for a geometry-optimized ScCr2Ag structure.

Cell: 4.641 4.641 4.641 Å, 60.00 60.00 60.00°
Each line ends with the local moment (μB).
Atoms (fractional coordinates):
Ag 0.500 0.500 0.500  0.11
Sc 0.000 0.000 0.000  0.27
Cr 0.250 0.250 0.250  3.38
Cr 0.750 0.750 0.750  3.38

Calculated density (Mg/m³): 6.0
Magnetization (μB per atom): 1.970
Fermi-level density of states (states/eV/atom): 0.533

Model two:
## ScCr2Ag (GGA-PBE)

Data for a geometry-optimized ScCr2Ag structure.

Cell: 4.690 2.856 4.943 Å, 84.06 90.00 90.00°
Each line ends with the local moment (μB).
Atoms (fractional coordinates):
Cr 0.000 0.914 0.054  0.60
Sc 0.500 0.250 0.250  0.03
Ag 0.500 0.750 0.750  0.03
Cr 0.000 0.586 0.446  0.60

Calculated density (Mg/m³): 6.5
Magnetization (μB per atom): 0.353
Fermi-level density of states (states/eV/atom): 1.186

It turns out model one is the most stable, with the second structure 0.025 eV/atom higher.